# GGA-PBEsol MnPtAu2, relaxed
# * total DFT energy (no corrections): -24.84 eV per cell
# * spin magnetization: 4.212 μB/cell
# * energy of formation: -0.067 eV per atom
# * density: 16961 kg/m3
data_MnPtAu2
_chemical_formula_sum 'Mn1 Pt1 Au2'
_cell_length_a 3.3335
_cell_length_b 3.3335
_cell_length_c 5.6737
_cell_angle_alpha 90.00
_cell_angle_beta 90.00
_cell_angle_gamma 90.00
_symmetry_space_group_name_H-M 'P 4 m m'
_symmetry_Int_Tables_number 99
loop_
_symmetry_equiv_pos_as_xyz
'x,y,z'
'-y,x,z'
'-x,-y,z'
'y,-x,z'
'-x,y,z'
'y,x,z'
'x,-y,z'
'-y,-x,z'
loop_
_atom_site_label
_atom_site_type_symbol
_atom_site_fract_x
_atom_site_fract_y
_atom_site_fract_z
_atom_site_occupancy
Mn1 Mn 0.0000 0.0000 0.0000 1
Pt1 Pt 0.5000 0.5000 0.2245 1
Au1 Au 0.0000 0.0000 0.4860 1
Au2 Au 0.5000 0.5000 0.7457 1

---

# GGA-PBEsol InAg2P, relaxed
# * total DFT energy (no corrections): -14.61 eV per cell
# * spin magnetization: 0.000 μB/cell
# * energy of formation: 0.197 eV per atom
# * density: 8218 kg/m3
data_InAg2P
_chemical_formula_sum 'In1 Ag2 P1'
_cell_length_a 2.9146
_cell_length_b 4.3267
_cell_length_c 5.7930
_cell_angle_alpha 90.00
_cell_angle_beta 90.00
_cell_angle_gamma 90.00
_symmetry_space_group_name_H-M 'P m m m'
_symmetry_Int_Tables_number 47
loop_
_symmetry_equiv_pos_as_xyz
'x,y,z'
'-x,-y,-z'
'-x,-y,z'
'x,y,-z'
'x,-y,-z'
'-x,y,z'
'-x,y,-z'
'x,-y,z'
loop_
_atom_site_label
_atom_site_type_symbol
_atom_site_fract_x
_atom_site_fract_y
_atom_site_fract_z
_atom_site_occupancy
In1 In 0.0000 0.0000 0.0000 1
Ag1 Ag 0.5000 0.5000 0.2485 1
P1 P 0.5000 0.0000 0.5000 1

---

# GGA-PBEsol Na2CaAg2, relaxed
# * total DFT energy (no corrections): -23.40 eV per cell
# * spin magnetization: 0.000 μB/cell
# * energy of formation: -0.029 eV per atom
# * density: 3983 kg/m3
data_Na2CaAg2
_chemical_formula_sum 'Na4 Ca2 Ag4'
_cell_length_a 4.2302
_cell_length_b 4.2302
_cell_length_c 14.0623
_cell_angle_alpha 90.00
_cell_angle_beta 90.00
_cell_angle_gamma 90.00
_symmetry_space_group_name_H-M 'I 4/m m m'
_symmetry_Int_Tables_number 139
_symmetry_space_group_name_Hall '-I 4 2'
loop_
_atom_site_label
_atom_site_type_symbol
_atom_site_fract_x
_atom_site_fract_y
_atom_site_fract_z
_atom_site_occupancy
Na1 Na 0.0000 0.5000 0.2500 1
Ca1 Ca 0.0000 0.0000 0.0000 1
Ag1 Ag 0.0000 0.0000 0.4056 1

---

# GGA-PBEsol MgAgMo4, relaxed
# * total DFT energy (no corrections): -195.97 eV per cell
# * spin magnetization: 0.002 μB/cell
# * energy of formation: 0.518 eV per atom
# * density: 8492 kg/m3
data_MgAgMo4
_chemical_formula_sum 'Mg4 Ag4 Mo16'
_cell_length_a 7.3898
_cell_length_b 7.3898
_cell_length_c 7.3898
_cell_angle_alpha 90.00
_cell_angle_beta 90.00
_cell_angle_gamma 90.00
_symmetry_space_group_name_H-M 'F -4 3 m'
_symmetry_Int_Tables_number 216
_symmetry_space_group_name_Hall 'F -4 2 3'
loop_
_atom_site_label
_atom_site_type_symbol
_atom_site_fract_x
_atom_site_fract_y
_atom_site_fract_z
_atom_site_occupancy
Mg1 Mg 0.0000 0.0000 0.0000 1
Ag1 Ag 0.2500 0.2500 0.7500 1
Mo1 Mo 0.1248 0.1248 0.3752 1

---

# GGA-PBEsol Li2HPb, relaxed
# * total DFT energy (no corrections): -49.36 eV per cell
# * offset from the most stable computed form: 0.0 meV per atom
# * spin magnetization: 0.000 μB/cell
# * density: 5793 kg/m3
data_Li2HPb
_chemical_formula_sum 'Li8 H4 Pb4'
_cell_length_a 5.6506
_cell_length_b 5.6506
_cell_length_c 7.9755
_cell_angle_alpha 90.00
_cell_angle_beta 90.00
_cell_angle_gamma 90.00
_symmetry_space_group_name_H-M 'I -4 2 d'
_symmetry_Int_Tables_number 122
_symmetry_space_group_name_Hall 'I -4 2bw'
loop_
_atom_site_label
_atom_site_type_symbol
_atom_site_fract_x
_atom_site_fract_y
_atom_site_fract_z
_atom_site_occupancy
Li1 Li 0.0085 0.7500 0.1250 1
H1 H 0.0000 0.0000 0.0000 1
Pb1 Pb 0.0000 0.0000 0.5000 1

---

# GGA-PBEsol Li4Y3VO8, relaxed
# * total DFT energy (no corrections): -247.20 eV per cell
# * offset from the most stable computed form: 3.9 meV per atom
# * spin magnetization: 4.000 μB/cell
# * energy relative to the elements, uncorrected: -263.2 kJ per mole of atoms
# * density: 4350 kg/m3
data_Li4Y3VO8
_chemical_formula_sum 'Li8 Y6 V2 O16'
_cell_length_a 6.1129
_cell_length_b 9.6470
_cell_length_c 6.1288
_cell_angle_alpha 90.00
_cell_angle_beta 90.00
_cell_angle_gamma 90.00
_symmetry_space_group_name_H-M 'C 2 2 2'
_symmetry_Int_Tables_number 21
loop_
_symmetry_equiv_pos_as_xyz
'x,y,z'
'-x,-y,z'
'x,-y,-z'
'-x,y,-z'
'x+1/2,y+1/2,z'
'-x+1/2,-y+1/2,z'
'x+1/2,-y+1/2,-z'
'-x+1/2,y+1/2,-z'
loop_
_atom_site_label
_atom_site_type_symbol
_atom_site_fract_x
_atom_site_fract_y
_atom_site_fract_z
_atom_site_occupancy
Li1 Li 0.0000 0.0000 0.0000 1
Li2 Li 0.0000 0.5000 0.5000 1
Li3 Li 0.2500 0.2500 0.2462 1
Y1 Y 0.0000 0.5000 0.0000 1
Y2 Y 0.2500 0.2500 0.7411 1
V1 V 0.0000 0.0000 0.5000 1
O1 O 0.0000 0.2117 0.5000 1
O2 O 0.0000 0.2699 0.0000 1
O3 O 0.2422 0.0107 0.7363 1

---

# GGA-PBEsol Te2AsRu, relaxed
# * total DFT energy (no corrections): -58.53 eV per cell
# * spin magnetization: 0.000 μB/cell
# * energy relative to the elements, uncorrected: 68.0 kJ per mole of atoms
# * density: 8026 kg/m3
data_Te2AsRu
_chemical_formula_sum 'Te6 As3 Ru3'
_cell_length_a 3.0122
_cell_length_b 3.0122
_cell_length_c 34.0575
_cell_angle_alpha 90.00
_cell_angle_beta 90.00
_cell_angle_gamma 120.00
_symmetry_space_group_name_H-M 'R -3 m'
_symmetry_Int_Tables_number 166
_symmetry_space_group_name_Hall '-R 3 2"'
loop_
_atom_site_label
_atom_site_type_symbol
_atom_site_fract_x
_atom_site_fract_y
_atom_site_fract_z
_atom_site_occupancy
Te1 Te 0.0000 0.0000 0.0742 1
As1 As 0.0000 0.0000 0.5000 1
Ru1 Ru 0.0000 0.0000 0.0000 1

---

# GGA-PBEsol Pr3Se3N, relaxed
# * total DFT energy (no corrections): -193.41 eV per cell
# * spin magnetization: 0.000 μB/cell
# * energy relative to the elements, uncorrected: -175.4 kJ per mole of atoms
# * density: 6382 kg/m3
data_Pr3Se3N
_chemical_formula_sum 'Pr12 Se12 N4'
_cell_length_a 12.6820
_cell_length_b 4.1356
_cell_length_c 13.3668
_cell_angle_alpha 90.00
_cell_angle_beta 90.00
_cell_angle_gamma 90.00
_symmetry_space_group_name_H-M 'P n m a'
_symmetry_Int_Tables_number 62
loop_
_symmetry_equiv_pos_as_xyz
'x,y,z'
'-x,-y,-z'
'-x+1/2,-y,z+1/2'
'x+1/2,y,-z+1/2'
'x+1/2,-y+1/2,-z+1/2'
'-x+1/2,y+1/2,z+1/2'
'-x,y+1/2,-z'
'x,-y+1/2,z'
loop_
_atom_site_label
_atom_site_type_symbol
_atom_site_fract_x
_atom_site_fract_y
_atom_site_fract_z
_atom_site_occupancy
Pr1 Pr 0.0351 0.2500 0.1532 1
Pr2 Pr 0.0805 0.2500 0.6293 1
Pr3 Pr 0.2179 0.2500 0.8665 1
Se1 Se 0.0858 0.2500 0.3907 1
Se2 Se 0.1368 0.7500 0.0017 1
Se3 Se 0.2316 0.7500 0.6957 1
N1 N 0.0486 0.2500 0.7975 1